## Cs2Np2Cl7 (PBE-GGA)

Data for a relaxed Cs2Np2Cl7 crystal.

Properties
D(E_F) = 1.159 states/eV per atom
Raw formation energy = -1733 meV/atom
Total DFT energy (no corrections) = -119.145 eV/cell

a b c (Å): 9.1338 10.5618 7.9699
angles (deg): 90.00 90.00 90.00
Closest atoms and distances in Å follow each position.
Space group Cmmm (No. 65)
Unique sites:
Cs1 0.2289 0.0000 0.0000 (multiplicity 4)  6 Cl 3.37-3.47
Np1 0.0000 0.2802 0.5000 (multiplicity 4)  7 Cl 2.87-2.96
Cl1 0.0000 0.0000 0.5000 (multiplicity 2)  2 Np 2.96
Cl2 0.0000 0.5000 0.2877 (multiplicity 4)  2 Np 2.87
Cl3 0.2500 0.2500 0.2808 (multiplicity 8)  2 Np 2.89


## Cs4NpCl7 (PBE-GGA)

Data for a relaxed Cs4NpCl7 crystal.

Properties
D(E_F) = 0.595 states/eV per atom
Raw formation energy = -1895 meV/atom
Total DFT energy (no corrections) = -104.045 eV/cell

a b c (Å): 17.6018 5.6165 12.1358
angles (deg): 90.00 123.93 90.00
Closest atoms and distances in Å follow each position.
Space group C2/m (No. 12)
Unique sites:
Cs1 0.0753 0.0000 0.2575 (multiplicity 4)  5 Cl 3.40-3.75
Cs2 0.2305 0.0000 0.8431 (multiplicity 4)  5 Cl 3.41-3.71
Np1 0.0000 0.5000 0.5000 (multiplicity 2)  6 Cl 2.70-2.81
Cl1 0.0000 0.0000 0.5000 (multiplicity 2)  2 Np 2.81
Cl2 0.0694 0.5000 0.7623 (multiplicity 4)  1 Np 2.70
Cl3 0.1379 0.0000 0.0383 (multiplicity 4)  5 Cs 3.40-3.55
Cl4 0.1680 0.5000 0.5422 (multiplicity 4)  1 Np 2.70


## Cs2NpCl7 (PBE-GGA)

Data for a relaxed Cs2NpCl7 crystal.

Properties
D(E_F) = 1.062 states/eV per atom
Energy above the most stable polymorph in this dataset = 67 meV/atom
Raw formation energy = -1603 meV/atom
Total DFT energy (no corrections) = -174.414 eV/cell

a b c (Å): 11.5638 11.5638 11.5638
angles (deg): 90.00 90.00 90.00
Closest atoms and distances in Å follow each position.
Space group Fm-3m (No. 225)
Unique sites:
Cs1 0.2500 0.2500 0.2500 (multiplicity 8)  12 Cl 4.10
Np1 0.0000 0.0000 0.0000 (multiplicity 4)  6 Cl 2.55
Cl1 0.0000 0.0000 0.2206 (multiplicity 24)  1 Np 2.55
Cl2 0.0000 0.0000 0.5000 (multiplicity 4)  6 Cl 3.23


## CsNp3Cl10 (PBE-GGA)

Data for a relaxed CsNp3Cl10 crystal.

Properties
D(E_F) = 2.115 states/eV per atom
Raw formation energy = -1746 meV/atom
Total DFT energy (no corrections) = -660.711 eV/cell

a b c (Å): 14.5164 14.5164 14.5164
angles (deg): 90.00 90.00 90.00
Closest atoms and distances in Å follow each position.
Space group Fm-3m (No. 225)
Unique sites:
Cs1 0.2500 0.2500 0.2500 (multiplicity 8)  4 Cl 3.43
Np1 0.0000 0.0000 0.2388 (multiplicity 24)  8 Cl 2.79-2.96
Cl1 0.0000 0.1675 0.3325 (multiplicity 48)  2 Np 2.79
Cl2 0.1137 0.1137 0.1137 (multiplicity 32)  3 Np 2.96, 3 Cl 3.30


## Cs5Np2Cl12 (PBE-GGA)

Data for a relaxed Cs5Np2Cl12 crystal.

Properties
D(E_F) = 0.854 states/eV per atom
Raw formation energy = -1845 meV/atom
Total DFT energy (no corrections) = -174.727 eV/cell

a b c (Å): 16.7767 10.0356 8.5176
angles (deg): 90.00 100.75 90.00
Closest atoms and distances in Å follow each position.
Space group C2/m (No. 12)
Unique sites:
Cs1 0.0000 0.0000 0.0000 (multiplicity 2)  6 Cl 3.39-3.41
Cs2 0.1342 0.5000 0.0108 (multiplicity 4)  4 Cl 3.36-3.64
Cs3 0.2485 0.0000 0.5099 (multiplicity 4)  6 Cl 3.45-3.71
Np1 0.0000 0.2490 0.5000 (multiplicity 4)  8 Cl 2.74-2.96
Cl1 0.0297 0.5000 0.3365 (multiplicity 4)  2 Np 2.96, 3 Cl 3.13-3.25
Cl2 0.0676 0.0000 0.6487 (multiplicity 4)  2 Np 2.93, 3 Cl 3.07-3.23
Cl3 0.1020 0.2062 0.2863 (multiplicity 8)  1 Np 2.75
Cl4 0.1447 0.2954 0.7027 (multiplicity 8)  1 Np 2.74


## CsNpCl4 (PBE-GGA)

Data for a relaxed CsNpCl4 crystal.

Properties
D(E_F) = 1.154 states/eV per atom
Energy above the most stable polymorph in this dataset = 8 meV/atom
Raw formation energy = -1830 meV/atom
Total DFT energy (no corrections) = -128.634 eV/cell

a b c (Å): 10.7154 13.2777 8.4383
angles (deg): 90.00 117.38 90.00
Closest atoms and distances in Å follow each position.
Space group C2/c (No. 15)
Unique sites:
Cs1 0.0000 0.1269 0.2500 (multiplicity 4)  6 Cl 3.46-3.68
Np1 0.0000 0.4827 0.7500 (multiplicity 4)  6 Cl 2.67-2.81
Cl1 0.0075 0.3646 0.4787 (multiplicity 8)  2 Np 2.78-2.81
Cl2 0.2202 0.0305 0.0901 (multiplicity 8)  1 Np 2.67


## Cs2NpCl5 (PBE-GGA)

Data for a relaxed Cs2NpCl5 crystal.

Properties
D(E_F) = 1.534 states/eV per atom
Raw formation energy = -1824 meV/atom
Total DFT energy (no corrections) = -76.946 eV/cell

a b c (Å): 8.2497 8.2497 9.8048
angles (deg): 90.00 90.00 90.00
Closest atoms and distances in Å follow each position.
Space group I4mm (No. 107)
Unique sites:
Cs1 0.0000 0.5000 0.0000 (multiplicity 4)  10 Cl 3.70-4.14
Np1 0.0000 0.0000 0.2259 (multiplicity 2)  5 Cl 2.54-2.69
Cl1 0.0000 0.0000 0.9666 (multiplicity 2)  1 Np 2.54
Cl2 0.2275 0.2275 0.2686 (multiplicity 8)  1 Np 2.69


## CsNpCl6 (PBE-GGA)

Data for a relaxed CsNpCl6 crystal.

Properties
D(E_F) = 1.018 states/eV per atom
Energy above the most stable polymorph in this dataset = 0 meV/atom
Raw formation energy = -1663 meV/atom
Total DFT energy (no corrections) = -76.363 eV/cell

a b c (Å): 8.6826 10.2587 6.7630
angles (deg): 90.00 105.81 90.00
Closest atoms and distances in Å follow each position.
Space group C2/m (No. 12)
Unique sites:
Cs1 0.0000 0.0000 0.0000 (multiplicity 2)  12 Cl 3.81-3.95
Np1 0.0000 0.5000 0.5000 (multiplicity 2)  6 Cl 2.53
Cl1 0.0988 0.3275 0.7716 (multiplicity 8)  1 Np 2.53
Cl2 0.2277 0.0000 0.5670 (multiplicity 4)  1 Np 2.53